No. 1
# Sr4NiPb, optimized geometry, DFT PBE-GGA
# V: 38.81 Å³/atom
# E_tot: -2.057 eV per atom
data_Sr4NiPb
_chemical_formula_sum 'Sr16 Ni4 Pb4'
_symmetry_space_group_name_H-M 'F -4 3 m'
_symmetry_Int_Tables_number 216
_symmetry_space_group_name_Hall 'F -4 2 3'
_cell_length_a 9.766
_cell_length_b 9.766
_cell_length_c 9.766
_cell_angle_alpha 90.00
_cell_angle_beta 90.00
_cell_angle_gamma 90.00
loop_
_atom_site_label
_atom_site_type_symbol
_atom_site_fract_x
_atom_site_fract_y
_atom_site_fract_z
_atom_site_occupancy
Sr1 Sr 0.125 0.125 0.125 1
Ni1 Ni 0.250 0.250 0.750 1
Pb1 Pb 0.000 0.000 0.500 1

=====

No. 2
# SrNi3Pb, optimized geometry, DFT PBE-GGA
# V: 23.33 Å³/atom
# E_tot: -4.007 eV per atom
# ΔE to the lowest computed polymorph: 0 meV per atom
data_SrNi3Pb
_chemical_formula_sum 'Sr1 Ni3 Pb1'
_symmetry_space_group_name_H-M 'P m -3 m'
_symmetry_Int_Tables_number 221
_symmetry_space_group_name_Hall '-P 4 2 3'
_cell_length_a 4.886
_cell_length_b 4.886
_cell_length_c 4.886
_cell_angle_alpha 90.00
_cell_angle_beta 90.00
_cell_angle_gamma 90.00
loop_
_atom_site_label
_atom_site_type_symbol
_atom_site_fract_x
_atom_site_fract_y
_atom_site_fract_z
_atom_site_occupancy
Sr1 Sr 0.000 0.000 0.000 1
Ni1 Ni 0.000 0.500 0.500 1
Pb1 Pb 0.500 0.500 0.500 1

=====

No. 3
# SrNi2Pb, optimized geometry, DFT PBE-GGA
# V: 20.90 Å³/atom
# E_tot: -4.084 eV per atom
data_SrNi2Pb
_chemical_formula_sum 'Sr2 Ni4 Pb2'
_symmetry_space_group_name_H-M 'I m m 2'
_symmetry_Int_Tables_number 44
_cell_length_a 3.404
_cell_length_b 4.916
_cell_length_c 9.989
_cell_angle_alpha 90.00
_cell_angle_beta 90.00
_cell_angle_gamma 90.00
loop_
_symmetry_equiv_pos_as_xyz
'x,y,z'
'-x,-y,z'
'-x,y,z'
'x,-y,z'
'x+1/2,y+1/2,z+1/2'
'-x+1/2,-y+1/2,z+1/2'
'-x+1/2,y+1/2,z+1/2'
'x+1/2,-y+1/2,z+1/2'
loop_
_atom_site_label
_atom_site_type_symbol
_atom_site_fract_x
_atom_site_fract_y
_atom_site_fract_z
_atom_site_occupancy
Sr1 Sr 0.000 0.000 0.000 1
Ni1 Ni 0.000 0.000 0.472 1
Ni2 Ni 0.000 0.500 0.800 1
Pb1 Pb 0.000 0.500 0.210 1

=====

No. 4
# SrNiTePb2, optimized geometry, DFT PBE-GGA
# V: 30.61 Å³/atom
# E_tot: -3.952 eV per atom
data_SrNiTePb2
_chemical_formula_sum 'Sr1 Ni1 Te1 Pb2'
_symmetry_space_group_name_H-M 'P 4/m m m'
_symmetry_Int_Tables_number 123
_symmetry_space_group_name_Hall '-P 4 2'
_cell_length_a 4.996
_cell_length_b 4.996
_cell_length_c 6.132
_cell_angle_alpha 90.00
_cell_angle_beta 90.00
_cell_angle_gamma 90.00
loop_
_atom_site_label
_atom_site_type_symbol
_atom_site_fract_x
_atom_site_fract_y
_atom_site_fract_z
_atom_site_occupancy
Sr1 Sr 0.000 0.000 0.000 1
Ni1 Ni 0.000 0.000 0.500 1
Te1 Te 0.500 0.500 0.000 1
Pb1 Pb 0.000 0.500 0.500 1

=====

No. 5
# Sr2TlNiPb, optimized geometry, DFT PBE-GGA
# V: 33.12 Å³/atom
# E_tot: -3.274 eV per atom
# ΔE to the lowest computed polymorph: 0 meV per atom
data_Sr2TlNiPb
_chemical_formula_sum 'Sr2 Tl1 Ni1 Pb1'
_symmetry_space_group_name_H-M 'P 4/m m m'
_symmetry_Int_Tables_number 123
_symmetry_space_group_name_Hall '-P 4 2'
_cell_length_a 5.797
_cell_length_b 5.797
_cell_length_c 4.927
_cell_angle_alpha 90.00
_cell_angle_beta 90.00
_cell_angle_gamma 90.00
loop_
_atom_site_label
_atom_site_type_symbol
_atom_site_fract_x
_atom_site_fract_y
_atom_site_fract_z
_atom_site_occupancy
Sr1 Sr 0.000 0.500 0.000 1
Tl1 Tl 0.000 0.000 0.500 1
Ni1 Ni 0.500 0.500 0.000 1
Pb1 Pb 0.500 0.500 0.500 1

=====

No. 6
# SrTlNiPb2, optimized geometry, DFT PBE-GGA
# V: 29.13 Å³/atom
# E_tot: -3.541 eV per atom
# ΔE to the lowest computed polymorph: 5 meV per atom
data_SrTlNiPb2
_chemical_formula_sum 'Sr1 Tl1 Ni1 Pb2'
_symmetry_space_group_name_H-M 'P 4/m m m'
_symmetry_Int_Tables_number 123
_symmetry_space_group_name_Hall '-P 4 2'
_cell_length_a 5.290
_cell_length_b 5.290
_cell_length_c 5.204
_cell_angle_alpha 90.00
_cell_angle_beta 90.00
_cell_angle_gamma 90.00
loop_
_atom_site_label
_atom_site_type_symbol
_atom_site_fract_x
_atom_site_fract_y
_atom_site_fract_z
_atom_site_occupancy
Sr1 Sr 0.000 0.000 0.000 1
Tl1 Tl 0.500 0.500 0.000 1
Ni1 Ni 0.500 0.500 0.500 1
Pb1 Pb 0.000 0.500 0.500 1